1.
VASP calculation (PBE) on crystalline SrVCoP2 at its relaxed geometry.

Geometry as POSCAR:
```
SrVCoP2
1.0
-1.5513 -3.3162 -1.1623
1.2872 -1.7185 3.1851
-5.0013 3.9254 1.8230
Co V Sr P
1 1 1 2
Direct
0.7500 0.2500 0.5000 Co
0.2500 0.7500 0.5000 V
0.0000 0.0000 0.0000 Sr
0.6443 0.6443 0.2887 P
0.3557 0.3557 0.7113 P
```

Calculated values
volume = 89 Å³ per cell
DFT total energy = -6.5744 eV/atom
calculated formation energy = -829.2 meV per atom

---

2.
VASP calculation (PBE) on crystalline Sr2CoPW at its relaxed geometry.

Geometry as POSCAR:
```
Sr2CoPW
1.0
-1.9560 -5.3471 -0.8368
2.6699 -1.4149 2.7999
-3.9217 0.7871 4.1374
Co P Sr W
1 1 2 1
Direct
0.0000 0.0000 0.0000 Co
0.0000 0.5000 0.0000 P
0.0000 0.0000 0.5000 Sr
0.5000 0.0000 0.0000 Sr
0.5000 0.5000 0.5000 W
```

Calculated values
volume = 136 Å³ per cell
DFT total energy = -5.0180 eV/atom
calculated formation energy = 748.6 meV per atom
ΔE to the lowest computed polymorph = 27 meV per atom

---

3.
VASP calculation (PBE) on crystalline Sr2CoPW at its relaxed geometry.

Geometry as POSCAR:
```
Sr2CoPW
1.0
-2.5068 -4.2440 -2.5223
3.6371 -0.6754 -2.4783
1.9795 -3.4556 3.8469
Sr P Co W
2 1 1 1
Direct
0.5000 0.0000 0.0000 Sr
0.0000 0.0000 0.5000 Sr
0.5000 0.5000 0.5000 P
0.0000 0.0000 0.0000 Co
0.0000 0.5000 0.0000 W
```

Calculated values
volume = 137 Å³ per cell
DFT total energy = -5.0447 eV/atom
calculated formation energy = 721.8 meV per atom
ΔE to the lowest computed polymorph = 0 meV per atom